ZnFe2O4 | PBE with a Hubbard U | optimized geometry

Cell lengths 5.994, 5.994, 14.678 Å; angles 90.00, 90.00, 120.00 degrees
Each line ends with the local moment (μB).
Element x y z (fractional)
Zn (0.667, 0.333, 0.955)  -0.05
Zn (0.000, 0.000, 0.614)  -0.01
Zn (0.333, 0.667, 0.661)  -0.01
Zn (0.333, 0.667, 0.297)  -0.04
Zn (0.000, 0.000, 0.999)  -0.03
Zn (0.000, 0.000, 0.383)  -0.03
Fe (0.164, 0.836, 0.831)  -4.32
Fe (0.164, 0.328, 0.831)  -4.32
Fe (0.499, 0.501, 0.501)  1.11
Fe (0.672, 0.836, 0.831)  -4.32
Fe (0.499, 0.998, 0.501)  1.11
Fe (0.667, 0.333, 0.339)  -4.33
Fe (0.667, 0.333, 0.708)  0.87
Fe (0.832, 0.168, 0.170)  -4.36
Fe (0.002, 0.501, 0.501)  1.11
Fe (0.832, 0.665, 0.170)  -4.36
Fe (0.335, 0.168, 0.170)  -4.36
Fe (0.333, 0.667, 0.042)  -4.34
O (0.845, 0.155, 0.908)  -0.20
O (0.000, 0.000, 0.754)  -0.28
O (0.845, 0.689, 0.908)  -0.20
O (0.311, 0.155, 0.908)  -0.20
O (0.180, 0.820, 0.571)  -0.04
O (0.011, 0.505, 0.753)  -0.13
O (0.333, 0.667, 0.432)  -0.09
O (0.495, 0.989, 0.753)  -0.13
O (0.333, 0.667, 0.908)  -0.28
O (0.180, 0.361, 0.571)  -0.04
O (0.639, 0.820, 0.571)  -0.04
O (0.495, 0.505, 0.753)  -0.13
O (0.514, 0.486, 0.250)  -0.26
O (0.365, 0.182, 0.426)  -0.13
O (0.818, 0.635, 0.426)  -0.13
O (0.667, 0.333, 0.094)  -0.27
O (0.667, 0.333, 0.573)  -0.07
O (0.514, 0.028, 0.250)  -0.26
O (0.972, 0.486, 0.250)  -0.26
O (0.818, 0.182, 0.426)  -0.13
O (0.679, 0.839, 0.090)  -0.27
O (0.161, 0.321, 0.090)  -0.27
O (0.000, 0.000, 0.242)  -0.27
O (0.161, 0.839, 0.090)  -0.27

Computed properties:
Excess energy over the best structure of this formula in the dataset (meV per atom): 49